Here is a relaxed structure of Dy12Y2Tm7 from the Alexandria database. Energies are from PBE-GGA.

Cell lengths 14.637, 14.637, 3.541 Å; angles 90.00, 90.00, 120.00 degrees
Sites, in units of the cell vectors:
Dy: 0.052 0.258 0.000
Dy: 0.123 0.715 0.500
Dy: 0.206 0.948 0.000
Dy: 0.285 0.409 0.500
Dy: 0.413 0.150 0.500
Dy: 0.497 0.398 0.000
Dy: 0.591 0.877 0.500
Dy: 0.602 0.099 0.000
Dy: 0.737 0.587 0.500
Dy: 0.742 0.794 0.000
Dy: 0.850 0.263 0.500
Dy: 0.901 0.503 0.000
Y: 0.000 0.000 0.500
Y: 0.333 0.667 0.000
Tm: 0.101 0.482 0.500
Tm: 0.228 0.182 0.000
Tm: 0.381 0.899 0.500
Tm: 0.518 0.619 0.500
Tm: 0.667 0.333 0.500
Tm: 0.818 0.046 0.000
Tm: 0.954 0.772 0.000

=====

Here is a relaxed structure of Dy4Y7Tm from the Alexandria database. Energies are from PBE-GGA.

Cell lengths 10.000, 10.000, 5.996 Å; angles 90.72, 90.72, 40.43 degrees
Sites, in units of the cell vectors:
Dy: 0.093 0.635 0.756
Dy: 0.365 0.907 0.244
Dy: 0.635 0.093 0.756
Dy: 0.907 0.365 0.244
Y: 0.040 0.040 0.751
Y: 0.215 0.215 0.744
Y: 0.313 0.313 0.248
Y: 0.500 0.500 0.500
Y: 0.687 0.687 0.752
Y: 0.785 0.785 0.256
Y: 0.960 0.960 0.249
Tm: 0.500 0.500 0.000

=====

Here is a relaxed structure of DyYTm2 from the Alexandria database. Energies are from PBE-GGA.

Cell lengths 4.987, 4.987, 4.977 Å; angles 90.00, 90.00, 90.00 degrees
Sites, in units of the cell vectors:
Dy: 0.000 0.000 0.000
Y: 0.500 0.500 0.000
Tm: 0.000 0.500 0.500
Tm: 0.500 0.000 0.500

=====

Record order is preserved below.
Calculated formation energy: 0.79, 1.74, 0.11 eV per formula unit
Record order is preserved below.
Size of the total moment: 0.00, 0.00, 0.00 Bohr magnetons per cell
Record order is preserved below.
Energy: -4.698, -5.532, -4.975 eV/atom